# K3Np2NiS6

K3Np2NiS6 after structural relaxation (PBE-GGA, Alexandria).

Output
space-group type: C2/m, No. 12
total energy: -73.13 eV/cell

Cell: 6.8047 6.8047 7.6878 Å, 98.44 98.44 120.05°
Atoms (fractional coordinates):
K (0.0000, 0.0000, 0.0000)
K (0.3350, 0.6650, 0.0000)
K (0.6650, 0.3350, 0.0000)
Np (0.1668, 0.8332, 0.5000)
Np (0.8332, 0.1668, 0.5000)
Ni (0.5000, 0.5000, 0.5000)
S (0.1094, 0.4351, 0.3048)
S (0.2400, 0.2400, 0.6937)
S (0.4351, 0.1094, 0.3048)
S (0.5649, 0.8906, 0.6952)
S (0.7600, 0.7600, 0.3063)
S (0.8906, 0.5649, 0.6952)

=====

# K3Np2NiSe6

K3Np2NiSe6 after structural relaxation (PBE-GGA, Alexandria).

Output
space-group type: C2/m, No. 12
total energy: -67.89 eV/cell

Cell: 7.1325 7.1325 8.0229 Å, 98.52 98.52 120.02°
Atoms (fractional coordinates):
K (0.0000, 0.0000, 0.0000)
K (0.3327, 0.6673, 0.0000)
K (0.6673, 0.3327, 0.0000)
Np (0.1666, 0.8334, 0.5000)
Np (0.8334, 0.1666, 0.5000)
Ni (0.5000, 0.5000, 0.5000)
Se (0.1142, 0.4344, 0.3031)
Se (0.2455, 0.2455, 0.6971)
Se (0.4344, 0.1142, 0.3031)
Se (0.5656, 0.8858, 0.6969)
Se (0.7545, 0.7545, 0.3029)
Se (0.8858, 0.5656, 0.6969)

=====

# KNp2NiSe4

KNp2NiSe4 after structural relaxation (PBE-GGA, Alexandria).

Output
space-group type: Cmcm, No. 63
total energy: -110.35 eV/cell

Cell: 7.3880 7.3880 14.1337 Å, 90.00 90.00 147.96°
Atoms (fractional coordinates):
K (0.1055, 0.8945, 0.7500)
K (0.8945, 0.1055, 0.2500)
Np (0.3655, 0.6345, 0.5622)
Np (0.3655, 0.6345, 0.9378)
Np (0.6345, 0.3655, 0.0622)
Np (0.6345, 0.3655, 0.4378)
Ni (0.1646, 0.8354, 0.2500)
Ni (0.8354, 0.1646, 0.7500)
Se (0.0000, 0.0000, 0.0000)
Se (0.0000, 0.0000, 0.5000)
Se (0.2648, 0.7352, 0.1139)
Se (0.2648, 0.7352, 0.3861)
Se (0.4272, 0.5728, 0.7500)
Se (0.5728, 0.4272, 0.2500)
Se (0.7352, 0.2648, 0.6139)
Se (0.7352, 0.2648, 0.8861)

=====

Please write out number 2 again, unchanged.
# K3Np2NiSe6

K3Np2NiSe6 after structural relaxation (PBE-GGA, Alexandria).

Output
space-group type: C2/m, No. 12
total energy: -67.89 eV/cell

Cell: 7.1325 7.1325 8.0229 Å, 98.52 98.52 120.02°
Atoms (fractional coordinates):
K (0.0000, 0.0000, 0.0000)
K (0.3327, 0.6673, 0.0000)
K (0.6673, 0.3327, 0.0000)
Np (0.1666, 0.8334, 0.5000)
Np (0.8334, 0.1666, 0.5000)
Ni (0.5000, 0.5000, 0.5000)
Se (0.1142, 0.4344, 0.3031)
Se (0.2455, 0.2455, 0.6971)
Se (0.4344, 0.1142, 0.3031)
Se (0.5656, 0.8858, 0.6969)
Se (0.7545, 0.7545, 0.3029)
Se (0.8858, 0.5656, 0.6969)

=====

Question: What is the formula in the third record?
Answer: KNp2NiSe4

=====

Question: Number 2 is which compound?
Answer: K3Np2NiSe6